GGA-PBEsol Al5Ag3, optimized geometry; formation energy from the elements = -43 meV/atom; VASP energy = -30.73 eV per cell; offset from the most stable computed form = 0.016 eV/atom
1.0
2.886 0.000 0.000
0.000 4.738 -0.018
0.000 -1.458 9.481
Al Ag
5 3
Direct
0.000 0.492 0.499 Al
0.500 0.743 0.752 Al
0.500 0.494 0.000 Al
0.000 0.769 0.252 Al
0.000 0.248 0.748 Al
0.000 0.993 0.996 Ag
0.500 0.268 0.249 Ag
0.500 0.993 0.504 Ag